# MnBe2CrCl

A relaxed MnBe2CrCl crystal (PBE, Alexandria via LeMat-Bulk).

Unit cell a=4.482 b=4.011 c=4.482 alpha=90.00 beta=90.00 gamma=90.00
Fractional coordinates of all 5 atoms:
Cr 0.000 0.000 0.000
Cl 0.500 0.500 0.500
Be 0.000 0.000 0.500
Be 0.500 0.000 0.000
Mn 0.000 0.500 0.000

Calculated values
Total moment, μB/f.u.: 1.37
Calculated density, Mg/m³: 3.3
Volume, Å³/atom: 16.1
Energy relative to the elements, uncorrected, eV per atom: 1.35